1.
This record from the Alexandria database describes an optimized crystal structure of KLaTa2. The functional is GGA-PBE.

Computed properties:
ΔH_f (0 K) in meV per atom: 1043
Crystal system: tetragonal
DOS(E_F) in states/eV per atom: 1.1382
E in eV per cell: -25.557

Cell and atoms, written as POSCAR:
```
KLaTa2
1.0
2.956 0.000 0.000
0.000 2.956 0.000
0.000 0.000 11.723
K La Ta
1 1 2
Cartesian
1.478 1.478 2.931
1.478 1.478 8.792
0.000 0.000 11.419
0.000 0.000 6.165
```



2.
This record from the Alexandria database describes an optimized crystal structure of KY2Bi2. The functional is GGA-PBE.

Computed properties:
ΔH_f (0 K) in meV per atom: -523
Crystal system: tetragonal
DOS(E_F) in states/eV per atom: 0.4857
E in eV per cell: -24.402

Cell and atoms, written as POSCAR:
```
KY2Bi2
1.0
5.214 0.000 0.000
0.000 5.214 0.000
2.607 2.607 7.492
Y K Bi
2 1 2
Cartesian
5.214 2.607 3.746
2.607 5.214 3.746
0.000 0.000 0.000
2.607 2.607 1.985
5.214 5.214 5.507
```



3.
This record from the Alexandria database describes an optimized crystal structure of Li3Tl2Pd3. The functional is GGA-PBE.

Computed properties:
ΔH_f (0 K) in meV per atom: -377
Crystal system: trigonal
DOS(E_F) in states/eV per atom: 0.4252
E in eV per cell: -29.069

Cell and atoms, written as POSCAR:
```
Li3Tl2Pd3
1.0
-0.857 3.333 3.002
3.006 0.917 3.314
4.139 6.314 -2.355
Li Tl Pd
3 2 3
Cartesian
1.602 2.684 0.951
4.684 7.877 3.012
1.848 3.428 3.668
2.153 4.256 6.310
3.142 5.279 1.983
2.859 4.483 -0.687
3.433 6.087 4.642
4.435 7.128 0.299
```



Number 1: relative energy among the computed polymorphs 0.489 eV/atom. Number 2: relative energy among the computed polymorphs 0.000 eV/atom. Number 3: relative energy among the computed polymorphs 0.000 eV/atom.